VCuPdPt | Alexandria | PBE | relaxed; V = 57.1 Å³/cell; E_form = -21.7 kJ/mol of atoms; uncorrected energy = -6.34 eV/atom
1.0
-3.647 2.274 -0.463
-3.782 -2.047 -0.441
-2.902 0.107 3.203
V Pt Pd Cu
1 1 1 1
direct
0.250 0.250 0.250
0.500 0.500 0.500
0.000 0.000 0.000
0.750 0.750 0.750

***

PmDy2TeO8 | Alexandria | PBE | relaxed; V = 177.6 Å³/cell; uncorrected energy = -7.22 eV/atom; uncorrected formation energy = -2.490 eV/atom
1.0
5.033 -0.042 -0.003
-0.011 5.037 -0.005
0.004 0.008 7.004
O Dy Te Pm
8 2 1 1
direct
0.817 0.184 0.793
0.183 0.816 0.207
0.276 0.276 0.000
0.724 0.724 0.000
0.318 0.317 0.500
0.682 0.683 0.500
0.817 0.184 0.207
0.183 0.816 0.793
0.500 0.500 0.758
0.500 0.500 0.242
0.000 0.000 0.000
0.000 0.000 0.500

***

PuHg2F6 | Alexandria | PBE | relaxed; V = 346.9 Å³/cell; uncorrected energy = -5.29 eV/atom; uncorrected formation energy = -2.382 eV/atom
1.0
7.145 -0.644 0.293
0.521 6.909 0.635
-0.377 -0.180 6.945
F Hg Pu
12 4 2
direct
0.129 0.141 0.644
0.435 0.970 0.166
0.565 0.030 0.834
0.203 0.266 0.199
0.797 0.734 0.801
0.065 0.834 0.030
0.871 0.859 0.356
0.703 0.199 0.266
0.297 0.801 0.734
0.371 0.356 0.859
0.629 0.644 0.141
0.935 0.166 0.970
0.588 0.593 0.630
0.912 0.370 0.407
0.088 0.630 0.593
0.412 0.407 0.370
0.750 0.921 0.079
0.250 0.079 0.921

***

Hf2GaCl | Alexandria | PBE | relaxed; V = 74.7 Å³/cell; distance to the lowest polymorph of the same formula = 0 meV/atom; uncorrected energy = -6.41 eV/atom; uncorrected formation energy = -0.212 eV/atom
1.0
0.000 3.343 3.343
3.343 0.000 3.343
3.343 3.343 0.000
Cl Hf Ga
1 2 1
direct
0.000 0.000 0.000
0.750 0.750 0.750
0.250 0.250 0.250
0.500 0.500 0.500

***

ScNbSi2 | Alexandria | PBE | relaxed; V = 143.3 Å³/cell; distance to the lowest polymorph of the same formula = 492 meV/atom; uncorrected energy = -7.04 eV/atom; uncorrected formation energy = -0.226 eV/atom
1.0
-4.954 4.891 1.208
-4.338 -3.278 -4.513
-5.687 -0.779 0.500
Si Sc Nb
4 2 2
direct
0.875 0.885 0.750
0.375 0.365 0.750
0.115 0.625 0.250
0.635 0.125 0.250
0.500 0.500 0.000
0.250 0.750 0.500
0.750 0.250 0.500
0.000 0.000 0.000

***

La4As2SeBr | Alexandria | PBE | relaxed; V = 234.8 Å³/cell; uncorrected energy = -5.96 eV/atom; uncorrected formation energy = -1.693 eV/atom
1.0
4.345 0.000 0.000
0.000 7.582 -0.174
0.000 2.644 7.068
Se La As Br
1 4 2 1
direct
0.500 0.500 0.000
0.500 0.228 0.766
0.500 0.772 0.234
0.000 0.766 0.753
0.000 0.234 0.247
0.500 0.000 0.500
0.000 0.000 0.000
0.000 0.500 0.500

***

CaFe3Br | Alexandria | PBE | relaxed; V = 89.7 Å³/cell; distance to the lowest polymorph of the same formula = 0 meV/atom; uncorrected energy = -4.97 eV/atom; uncorrected formation energy = 0.847 eV/atom
1.0
4.477 0.000 0.000
0.000 4.477 0.000
0.000 0.000 4.477
Ca Fe Br
1 3 1
direct
0.500 0.500 0.500
0.000 0.000 0.500
0.500 0.000 0.000
0.000 0.500 0.000
0.000 0.000 0.000

***

Li6NbP4 | Alexandria | PBE | relaxed; V = 404.5 Å³/cell; E_form = -54.7 kJ/mol of atoms; uncorrected energy = -4.49 eV/atom
1.0
6.256 0.000 0.000
0.000 8.041 0.000
0.000 0.000 8.041
P Li Nb
8 12 2
direct
0.204 0.500 0.750
0.296 0.000 0.250
0.204 0.500 0.250
0.796 0.750 0.500
0.704 0.250 0.000
0.796 0.250 0.500
0.296 0.000 0.750
0.704 0.750 0.000
0.058 0.000 0.500
0.000 0.217 0.783
0.942 0.500 0.000
0.500 0.283 0.283
0.500 0.717 0.283
0.558 0.000 0.500
0.000 0.217 0.217
0.442 0.500 0.000
0.000 0.783 0.783
0.500 0.283 0.717
0.500 0.717 0.717
0.000 0.783 0.217
0.500 0.000 0.000
0.000 0.500 0.500

***

CaYHg6 | Alexandria | PBE | relaxed; V = 196.6 Å³/cell; E_form = -35.5 kJ/mol of atoms; uncorrected energy = -1.65 eV/atom
1.0
5.131 0.000 0.000
0.000 6.626 -0.175
0.000 -3.090 5.863
Ca Hg Y
1 6 1
direct
0.500 0.412 0.588
0.000 0.584 0.416
0.000 0.592 0.926
0.500 0.919 0.081
0.500 0.911 0.581
0.500 0.419 0.089
0.000 0.074 0.408
0.000 0.088 0.912

***

CsEu2Pt | Alexandria | PBE | relaxed; V = 190.8 Å³/cell; E_form = -39.5 kJ/mol of atoms; uncorrected energy = -7.27 eV/atom
1.0
-1.685 1.236 -3.828
-1.731 -2.971 -2.682
-11.471 0.902 2.857
Pt Cs Eu
1 1 2
direct
0.500 0.500 0.500
0.000 0.000 0.000
0.877 0.877 0.368
0.123 0.123 0.632

***

Te2Se2N | Alexandria | PBE | relaxed; V = 121.8 Å³/cell; distance to the lowest polymorph of the same formula = 350 meV/atom; uncorrected energy = -3.28 eV/atom; uncorrected formation energy = 1.034 eV/atom
1.0
3.644 0.000 0.000
0.000 3.644 0.000
1.822 1.822 9.173
Se Te N
2 2 1
direct
0.250 0.750 0.500
0.750 0.250 0.500
0.429 0.429 0.142
0.571 0.571 0.858
0.000 0.000 0.000

***

MgHI3 | Alexandria | PBE | relaxed; V = 140.0 Å³/cell; distance to the lowest polymorph of the same formula = 347 meV/atom; uncorrected energy = -1.53 eV/atom
1.0
-3.457 -1.105 -3.713
3.523 -2.967 -2.397
-1.612 -4.116 2.725
I H Mg
3 1 1
direct
0.500 0.000 0.000
0.000 0.500 0.000
0.000 0.000 0.500
0.000 0.000 0.000
0.500 0.500 0.500